No. 1
A plane-wave DFT calculation with PBE was carried out for a relaxed Ce4Te2AsIr crystal.

The structure in CIF format:
```
data_Ce4Te2AsIr
_cell_length_a 7.469
_cell_length_b 4.242
_cell_length_c 7.676
_cell_angle_alpha 90.00
_cell_angle_beta 108.21
_cell_angle_gamma 90.00
_symmetry_space_group_name_H-M 'P 1 2/m 1'
_symmetry_Int_Tables_number 10
_symmetry_space_group_name_Hall '-P 2y'
loop_
_atom_site_label
_atom_site_type_symbol
_atom_site_fract_x
_atom_site_fract_y
_atom_site_fract_z
Ce1 Ce 0.229 0.000 0.212
Ce2 Ce 0.248 0.500 0.783
Te1 Te 0.000 0.000 0.500
Te2 Te 0.500 0.500 0.500
As1 As 0.500 0.000 0.000
Ir1 Ir 0.000 0.500 0.000
```

Calculated values
The spin magnetization is 0.544 μB per atom. Its formation energy from raw total energies is -1.208 eV per atom. As for the crystal system: monoclinic. The density of states at the Fermi level comes out at 23.991 states/eV per cell.

---

No. 2
A plane-wave DFT calculation with PBE was carried out for a relaxed NaP2OsS crystal.

The structure in CIF format:
```
data_NaP2OsS
_cell_length_a 4.594
_cell_length_b 4.594
_cell_length_c 4.564
_cell_angle_alpha 90.00
_cell_angle_beta 90.00
_cell_angle_gamma 90.00
_symmetry_space_group_name_H-M 'P 4/m m m'
_symmetry_Int_Tables_number 123
_symmetry_space_group_name_Hall '-P 4 2'
loop_
_atom_site_label
_atom_site_type_symbol
_atom_site_fract_x
_atom_site_fract_y
_atom_site_fract_z
Na1 Na 0.000 0.000 0.000
P1 P 0.000 0.500 0.000
Os1 Os 0.500 0.500 0.500
S1 S 0.000 0.000 0.500
```

Calculated values
The value obtained for the energy above the lowest structure with this stoichiometry is 1942.9 meV per atom. The spin magnetization is 0.000 μB per atom. Its formation energy from raw total energies is 2.163 eV per atom. As for the crystal system: tetragonal. The density of states at the Fermi level comes out at 6.334 states/eV per cell.

---

No. 3
A plane-wave DFT calculation with PBE was carried out for a relaxed CaAg2Br crystal.

The structure in CIF format:
```
data_CaAg2Br
_cell_length_a 7.948
_cell_length_b 4.590
_cell_length_c 7.100
_cell_angle_alpha 90.00
_cell_angle_beta 110.55
_cell_angle_gamma 90.00
_symmetry_space_group_name_H-M 'C 1 m 1'
_symmetry_Int_Tables_number 8
_symmetry_space_group_name_Hall 'C -2y'
loop_
_atom_site_label
_atom_site_type_symbol
_atom_site_fract_x
_atom_site_fract_y
_atom_site_fract_z
Ca1 Ca 0.000 0.000 0.000
Ag1 Ag 0.255 0.500 0.280
Ag2 Ag 0.431 0.000 0.310
Br1 Br 0.263 0.000 0.776
```

Calculated values
The value obtained for the energy above the lowest structure with this stoichiometry is 10.1 meV per atom. The spin magnetization is 0.000 μB per atom. Its formation energy from raw total energies is -0.563 eV per atom. As for the crystal system: monoclinic. The density of states at the Fermi level comes out at 1.602 states/eV per cell.

---

No. 4
A plane-wave DFT calculation with PBE was carried out for a relaxed BaFeIr2 crystal.

The structure in CIF format:
```
data_BaFeIr2
_cell_length_a 4.3827
_cell_length_b 4.3827
_cell_length_c 17.0734
_cell_angle_alpha 90.00
_cell_angle_beta 90.00
_cell_angle_gamma 120.00
_symmetry_space_group_name_H-M 'R 3 m'
_symmetry_Int_Tables_number 160
_symmetry_space_group_name_Hall 'R 3 -2"'
loop_
_atom_site_label
_atom_site_type_symbol
_atom_site_fract_x
_atom_site_fract_y
_atom_site_fract_z
Ba1 Ba 0.0000 0.0000 0.0000
Fe1 Fe 0.0000 0.0000 0.1850
Ir1 Ir 0.0000 0.0000 0.4965
Ir2 Ir 0.0000 0.0000 0.8134
```

Calculated values
The spin magnetization is 0.763 μB per atom. The value obtained for the formation enthalpy at 0 K is -0.010 eV per atom. As for the crystal system: trigonal. The density of states at the Fermi level comes out at 17.489 states/eV per cell.

---

No. 5
A plane-wave DFT calculation with PBE was carried out for a relaxed Au3Se2 crystal.

The structure in CIF format:
```
data_Au3Se2
_cell_length_a 11.286
_cell_length_b 16.498
_cell_length_c 5.114
_cell_angle_alpha 90.00
_cell_angle_beta 90.00
_cell_angle_gamma 90.00
_symmetry_space_group_name_H-M 'F d d 2'
_symmetry_Int_Tables_number 43
_symmetry_space_group_name_Hall 'F 2 -2d'
loop_
_atom_site_label
_atom_site_type_symbol
_atom_site_fract_x
_atom_site_fract_y
_atom_site_fract_z
Au1 Au 0.000 0.000 0.000
Au2 Au 0.037 0.343 0.714
Se1 Se 0.048 0.310 0.216
```

Calculated values
The spin magnetization is 0.000 μB per atom. Its formation energy from raw total energies is 0.136 eV per atom. As for the crystal system: orthorhombic. The density of states at the Fermi level comes out at 17.744 states/eV per cell.

---

No. 6
A plane-wave DFT calculation with PBE was carried out for a relaxed Tb5PmTh crystal.

The structure in CIF format:
```
data_Tb5PmTh
_cell_length_a 10.370
_cell_length_b 10.984
_cell_length_c 8.543
_cell_angle_alpha 90.00
_cell_angle_beta 90.00
_cell_angle_gamma 90.00
_symmetry_space_group_name_H-M 'I m m a'
_symmetry_Int_Tables_number 74
_symmetry_space_group_name_Hall '-I 2b 2'
loop_
_atom_site_label
_atom_site_type_symbol
_atom_site_fract_x
_atom_site_fract_y
_atom_site_fract_z
Tb1 Tb 0.000 0.044 0.247
Tb2 Tb 0.000 0.250 0.538
Tb3 Tb 0.246 0.000 0.500
Pm1 Pm 0.000 0.250 0.952
Th1 Th 0.250 0.250 0.250
```

Calculated values
The spin magnetization is 0.000 μB per atom. The value obtained for the formation enthalpy at 0 K is 0.222 eV per atom. As for the crystal system: orthorhombic. The density of states at the Fermi level comes out at 40.252 states/eV per cell.

---

No. 7
A plane-wave DFT calculation with PBE was carried out for a relaxed KAgF2 crystal.

The structure in CIF format:
```
data_KAgF2
_cell_length_a 3.6111
_cell_length_b 3.6111
_cell_length_c 18.8179
_cell_angle_alpha 90.00
_cell_angle_beta 90.00
_cell_angle_gamma 120.00
_symmetry_space_group_name_H-M 'R 3 m'
_symmetry_Int_Tables_number 160
_symmetry_space_group_name_Hall 'R 3 -2"'
loop_
_atom_site_label
_atom_site_type_symbol
_atom_site_fract_x
_atom_site_fract_y
_atom_site_fract_z
K1 K 0.0000 0.0000 0.0000
Ag1 Ag 0.0000 0.0000 0.1700
F1 F 0.0000 0.0000 0.5806
F2 F 0.0000 0.0000 0.7569
```

Calculated values
The value obtained for the energy above the lowest structure with this stoichiometry is 67.5 meV per atom. The spin magnetization is 0.021 μB per atom. Its formation energy from raw total energies is -1.799 eV per atom. As for the crystal system: trigonal. The density of states at the Fermi level comes out at 0.000 states/eV per cell.

---

No. 8
A plane-wave DFT calculation with PBE was carried out for a relaxed Sr2SCl crystal.

The structure in CIF format:
```
data_Sr2SCl
_cell_length_a 6.778
_cell_length_b 6.778
_cell_length_c 13.514
_cell_angle_alpha 90.00
_cell_angle_beta 90.00
_cell_angle_gamma 90.00
_symmetry_space_group_name_H-M 'I -4 2 d'
_symmetry_Int_Tables_number 122
_symmetry_space_group_name_Hall 'I -4 2bw'
loop_
_atom_site_label
_atom_site_type_symbol
_atom_site_fract_x
_atom_site_fract_y
_atom_site_fract_z
Sr1 Sr 0.230 0.250 0.125
S1 S 0.000 0.000 0.000
Cl1 Cl 0.000 0.000 0.500
```

Calculated values
The value obtained for the energy above the lowest structure with this stoichiometry is 185.8 meV per atom. The spin magnetization is 0.202 μB per atom. Its formation energy from raw total energies is -1.700 eV per atom. As for the crystal system: tetragonal. The density of states at the Fermi level comes out at 13.173 states/eV per cell.

---

No. 9
A plane-wave DFT calculation with PBE was carried out for a relaxed BaTl3Mo crystal.

The structure in CIF format:
```
data_BaTl3Mo
_cell_length_a 5.435
_cell_length_b 5.435
_cell_length_c 5.435
_cell_angle_alpha 90.00
_cell_angle_beta 90.00
_cell_angle_gamma 90.00
_symmetry_space_group_name_H-M 'P m -3 m'
_symmetry_Int_Tables_number 221
_symmetry_space_group_name_Hall '-P 4 2 3'
loop_
_atom_site_label
_atom_site_type_symbol
_atom_site_fract_x
_atom_site_fract_y
_atom_site_fract_z
Ba1 Ba 0.000 0.000 0.000
Tl1 Tl 0.000 0.500 0.500
Mo1 Mo 0.500 0.500 0.500
```

Calculated values
The value obtained for the energy above the lowest structure with this stoichiometry is 0.0 meV per atom. The spin magnetization is 0.083 μB per atom. The value obtained for the formation enthalpy at 0 K is 0.112 eV per atom. As for the crystal system: cubic. The density of states at the Fermi level comes out at 3.020 states/eV per cell.

---

No. 10
A plane-wave DFT calculation with PBE was carried out for a relaxed AgCF2 crystal.

The structure in CIF format:
```
data_AgCF2
_cell_length_a 5.083
_cell_length_b 5.222
_cell_length_c 5.997
_cell_angle_alpha 83.71
_cell_angle_beta 79.05
_cell_angle_gamma 67.17
_symmetry_space_group_name_H-M 'P 1'
_symmetry_Int_Tables_number 1
_symmetry_space_group_name_Hall 'P 1'
loop_
_atom_site_label
_atom_site_type_symbol
_atom_site_fract_x
_atom_site_fract_y
_atom_site_fract_z
Ag1 Ag 0.000 0.000 0.000
Ag2 Ag 0.279 0.346 0.038
C1 C 0.290 0.702 0.198
C2 C 0.693 0.276 0.802
F1 F 0.185 0.672 0.422
F2 F 0.570 0.676 0.192
F3 F 0.662 0.163 0.618
F4 F 0.700 0.529 0.725
```

Calculated values
The value obtained for the energy above the lowest structure with this stoichiometry is 0.0 meV per atom. The spin magnetization is 0.000 μB per atom. Its formation energy from raw total energies is -0.465 eV per atom. As for the crystal system: triclinic.

---

No. 11
A plane-wave DFT calculation with PBE was carried out for a relaxed MnSnAsPtI crystal.

The structure in CIF format:
```
data_MnSnAsPtI
_cell_length_a 11.724
_cell_length_b 3.654
_cell_length_c 5.921
_cell_angle_alpha 90.00
_cell_angle_beta 112.18
_cell_angle_gamma 90.00
_symmetry_space_group_name_H-M 'C 1 m 1'
_symmetry_Int_Tables_number 8
_symmetry_space_group_name_Hall 'C -2y'
loop_
_atom_site_label
_atom_site_type_symbol
_atom_site_fract_x
_atom_site_fract_y
_atom_site_fract_z
Mn1 Mn 0.000 0.000 0.000
Sn1 Sn 0.447 0.500 0.478
As1 As 0.113 0.500 0.292
Pt1 Pt 0.255 0.000 0.259
I1 I 0.308 0.000 0.846
```

Calculated values
The value obtained for the energy above the lowest structure with this stoichiometry is 262.8 meV per atom. The spin magnetization is 0.640 μB per atom. Its formation energy from raw total energies is 0.021 eV per atom. As for the crystal system: monoclinic. The density of states at the Fermi level comes out at 5.131 states/eV per cell.

---

No. 12
A plane-wave DFT calculation with PBE was carried out for a relaxed Pm6Tl3Au crystal.

The structure in CIF format:
```
data_Pm6Tl3Au
_cell_length_a 9.333
_cell_length_b 12.239
_cell_length_c 5.362
_cell_angle_alpha 90.00
_cell_angle_beta 90.00
_cell_angle_gamma 90.00
_symmetry_space_group_name_H-M 'P n n m'
_symmetry_Int_Tables_number 58
_symmetry_space_group_name_Hall '-P 2 2n'
loop_
_atom_site_label
_atom_site_type_symbol
_atom_site_fract_x
_atom_site_fract_y
_atom_site_fract_z
Pm1 Pm 0.006 0.243 0.000
Pm2 Pm 0.161 0.085 0.500
Pm3 Pm 0.176 0.414 0.500
Tl1 Tl 0.000 0.500 0.000
Tl2 Tl 0.162 0.740 0.500
Au1 Au 0.000 0.000 0.000
```

Calculated values
The spin magnetization is 0.000 μB per atom. The value obtained for the formation enthalpy at 0 K is -0.334 eV per atom. As for the crystal system: orthorhombic. The density of states at the Fermi level comes out at 21.189 states/eV per cell.